1.
Below is a relaxed Ac2SmAl crystal, with properties calculated at the GGA-PBE level.

Calculated values
The formation energy from the elements is 0.04 eV/atom. The energy above the most stable polymorph in this dataset comes out at 0.44 eV/f.u. The calculation puts the density of states at the Fermi level at 5.52 states/eV/f.u.

a b c (Å): 8.1823 8.1823 8.1823
angles (deg): 90.00 90.00 90.00
Last column: nearest neighbours and their distance in Å.
Atoms (fractional coordinates):
Ac 0.2500 0.2500 0.2500  4 Al 3.54, 4 Sm 3.54
Ac 0.2500 0.2500 0.7500  4 Al 3.54, 4 Sm 3.54
Ac 0.2500 0.7500 0.2500  4 Al 3.54, 4 Sm 3.54
Ac 0.2500 0.7500 0.7500  4 Al 3.54, 4 Sm 3.54
Ac 0.7500 0.2500 0.2500  4 Al 3.54, 4 Sm 3.54
Ac 0.7500 0.2500 0.7500  4 Al 3.54, 4 Sm 3.54
Ac 0.7500 0.7500 0.2500  4 Al 3.54, 4 Sm 3.54
Ac 0.7500 0.7500 0.7500  4 Sm 3.54, 4 Al 3.54
Sm 0.0000 0.0000 0.0000  8 Ac 3.54
Sm 0.0000 0.5000 0.5000  8 Ac 3.54
Sm 0.5000 0.0000 0.5000  8 Ac 3.54
Sm 0.5000 0.5000 0.0000  8 Ac 3.54
Al 0.0000 0.0000 0.5000  8 Ac 3.54
Al 0.0000 0.5000 0.0000  8 Ac 3.54
Al 0.5000 0.0000 0.0000  8 Ac 3.54
Al 0.5000 0.5000 0.5000  8 Ac 3.54

=====

2.
Below is a relaxed Tb5Y4Sc2 crystal, with properties calculated at the GGA-PBE level.

Calculated values
The formation energy from the elements is 0.28 eV/atom. The energy above the most stable polymorph in this dataset comes out at 1.90 eV/f.u. The calculation puts the density of states at the Fermi level at 18.20 states/eV/f.u.

a b c (Å): 12.3071 12.3071 12.3071
angles (deg): 163.81 136.77 46.45
Last column: nearest neighbours and their distance in Å.
Atoms (fractional coordinates):
Tb 0.0000 0.0000 0.0000  4 Y 3.28, 2 Tb 3.47
Tb 0.0508 0.3478 0.7030  1 Sc 3.23, 3 Y 3.41-3.57, 2 Tb 3.47
Tb 0.3552 0.6522 0.7030  1 Sc 3.23, 3 Y 3.41-3.57, 2 Tb 3.47
Tb 0.6448 0.3478 0.2970  1 Sc 3.23, 3 Y 3.41-3.57, 2 Tb 3.47
Tb 0.9492 0.6522 0.2970  1 Sc 3.23, 3 Y 3.41-3.57, 2 Tb 3.47
Y 0.3075 0.5000 0.8075  4 Tb 3.28-3.57, 7 Y 3.34-3.49
Y 0.4000 0.9000 0.5000  1 Sc 2.95
Y 0.6000 0.1000 0.5000  1 Sc 2.95
Y 0.6925 0.5000 0.1925  4 Tb 3.28-3.57, 7 Y 3.34-3.49
Sc 0.2694 0.7694 0.5000  1 Y 2.95, 2 Tb 3.23
Sc 0.7306 0.2306 0.5000  1 Y 2.95, 2 Tb 3.23

=====

3.
Below is a relaxed KZr2Os crystal, with properties calculated at the GGA-PBE level.

Calculated values
The formation energy from the elements is 0.87 eV/atom. The energy above the most stable polymorph in this dataset comes out at 2.82 eV/f.u. The calculation puts the density of states at the Fermi level at 3.25 states/eV/f.u.

a b c (Å): 6.5576 9.9132 2.7938
angles (deg): 90.00 111.38 90.00
Last column: nearest neighbours and their distance in Å.
Atoms (fractional coordinates):
K 0.0000 0.0000 0.0000  2 K 2.79, 4 Zr 3.02
K 0.5000 0.5000 0.0000  2 K 2.79, 4 Zr 3.02
Zr 0.2500 0.2500 0.5000  2 Zr 2.79, 2 K 3.02, 2 Os 3.02
Zr 0.2500 0.7500 0.5000  2 Zr 2.79, 2 K 3.02, 2 Os 3.02
Zr 0.7500 0.2500 0.5000  2 Zr 2.79, 2 K 3.02, 2 Os 3.02
Zr 0.7500 0.7500 0.5000  2 Zr 2.79, 2 Os 3.02, 2 K 3.02
Os 0.0000 0.5000 0.0000  2 Os 2.79, 4 Zr 3.02
Os 0.5000 0.0000 0.0000  2 Os 2.79, 4 Zr 3.02

=====

4.
Below is a relaxed TaAgAsSe2 crystal, with properties calculated at the GGA-PBE level.

Calculated values
The energy above the most stable polymorph in this dataset comes out at 5.44 eV/f.u. For the uncorrected formation energy, the calculation gives 1.239 eV/atom. The calculation puts the density of states at the Fermi level at 6.15 states/eV/f.u.

a b c (Å): 4.9065 4.9065 4.8799
angles (deg): 90.00 90.00 90.00
Last column: nearest neighbours and their distance in Å.
Atoms (fractional coordinates):
Ta 0.0000 0.0000 0.0000  8 Se 3.46, 4 As 3.47
Ag 0.5000 0.5000 0.5000  2 As 2.44, 4 Se 2.45
As 0.5000 0.5000 0.0000  2 Ag 2.44
Se 0.0000 0.5000 0.5000  2 Ag 2.45
Se 0.5000 0.0000 0.5000  2 Ag 2.45